[1]
## ZrPtBr2 (GGA-PBEsol)

Data for crystalline ZrPtBr2 at its relaxed geometry.

## Properties
Density ... 9.824 g cm⁻³
Formation energy without anion corrections ... -114 meV per atom

Cell lengths 4.7421, 4.7421, 4.7421 Å; angles 60.00, 60.00, 60.00 degrees
Positions (direct):
Br1 0.2500 0.2500 0.2500
Pt1 0.0000 0.0000 0.0000
Br2 0.7500 0.7500 0.7500
Zr1 0.5000 0.5000 0.5000

[2]
## ZrPt2Br (GGA-PBEsol)

Data for crystalline ZrPt2Br at its relaxed geometry.

## Properties
Density ... 12.823 g cm⁻³
Formation energy without anion corrections ... -152 meV per atom

Cell lengths 3.0590, 3.0590, 9.1441 Å; angles 80.41, 80.41, 59.96 degrees
Positions (direct):
Pt1 0.0054 0.0054 0.9845
Pt2 0.7529 0.7529 0.7405
Zr1 0.5000 0.5000 0.5004
Br1 0.2417 0.2417 0.2746

[3]
## ZrPt2Br (GGA-PBEsol)

Data for crystalline ZrPt2Br at its relaxed geometry.

## Properties
Density ... 9.106 g cm⁻³
Formation energy without anion corrections ... -449 meV per atom

Cell lengths 3.5934, 4.7481, 6.5597 Å; angles 98.21, 90.00, 112.23 degrees
Positions (direct):
Zr1 0.4896 0.9792 0.5991
Pt1 0.9065 0.8131 0.8527
Br1 0.9141 0.8282 0.2770
Pt2 0.1898 0.3796 0.7712

[4]
## ZrPtBr4 (GGA-PBEsol)

Data for crystalline ZrPtBr4 at its relaxed geometry.

## Properties
Density ... 7.522 g cm⁻³
Formation energy without anion corrections ... 837 meV per atom

Cell lengths 5.7405, 5.7405, 5.7405 Å; angles 60.00, 60.00, 60.00 degrees
Positions (direct):
Br1 0.3752 0.3752 0.8744
Pt1 0.7500 0.7500 0.7500
Br2 0.8744 0.3752 0.3752
Zr1 0.0000 0.0000 0.0000
Br3 0.3752 0.3752 0.3752
Br4 0.3752 0.8744 0.3752

[5]
## ZrPtBr3 (GGA-PBEsol)

Data for crystalline ZrPtBr3 at its relaxed geometry.

## Properties
Density ... 6.851 g cm⁻³
Formation energy without anion corrections ... 343 meV per atom

Cell lengths 5.0330, 5.0330, 5.0330 Å; angles 90.00, 90.00, 90.00 degrees
Positions (direct):
Br1 0.5000 0.0000 0.0000
Br2 0.0000 0.5000 0.0000
Pt1 0.0000 0.0000 0.0000
Br3 0.0000 0.0000 0.5000
Zr1 0.5000 0.5000 0.5000

[6]
## ZrPtBr2 (GGA-PBEsol)

Data for crystalline ZrPtBr2 at its relaxed geometry.

## Properties
Density ... 7.325 g cm⁻³
Formation energy without anion corrections ... -905 meV per atom

Cell lengths 3.7597, 3.7597, 8.5417 Å; angles 77.29, 77.29, 60.00 degrees
Positions (direct):
Br1 0.7752 0.7752 0.6745
Pt1 0.5120 0.5120 0.4640
Br2 0.9776 0.9776 0.0673
Zr1 0.2353 0.2353 0.2942

[7]
## RbBr (GGA-PBEsol)

Data for crystalline RbBr at its relaxed geometry.

## Properties
Density ... 3.447 g cm⁻³
Formation energy without anion corrections ... -1729 meV per atom

Cell lengths 4.8298, 4.8298, 4.8298 Å; angles 60.00, 60.00, 60.00 degrees
Positions (direct):
Br1 0.5000 0.5000 0.5000
Rb1 0.0000 0.0000 0.0000

[8]
## RbBr (GGA-PBEsol)

Data for crystalline RbBr at its relaxed geometry.

## Properties
Density ... 4.077 g cm⁻³
Formation energy without anion corrections ... -1702 meV per atom

Cell lengths 4.0688, 4.0688, 4.0688 Å; angles 90.00, 90.00, 90.00 degrees
Positions (direct):
Br1 0.5000 0.5000 0.5000
Rb1 0.0000 0.0000 0.0000

[9]
## RbRe3Br10 (GGA-PBEsol)

Data for crystalline RbRe3Br10 at its relaxed geometry.

## Properties
Density ... 5.781 g cm⁻³
Formation energy without anion corrections ... -550 meV per atom

Cell lengths 9.1853, 9.1853, 10.3626 Å; angles 88.87, 88.87, 71.53 degrees
Positions (direct):
Br1 0.9997 0.3216 0.5026
Br2 0.8411 0.8411 0.0409
Br3 0.1589 0.1589 0.9591
Br4 0.6297 0.6297 0.9561
Re1 0.5862 0.8139 0.6258
Br5 0.9987 0.5249 0.8137
Br6 0.6099 0.2937 0.2990
Br7 0.6784 0.0003 0.4974
Re2 0.2376 0.2376 0.1910
Br8 0.3901 0.7063 0.7010
Re3 0.1861 0.4138 0.3742
Rb1 0.7856 0.2144 0.0000
Br9 0.0777 0.0777 0.2593
Br10 0.0013 0.4751 0.1863
Br11 0.9223 0.9223 0.7407
Br12 0.3216 0.9997 0.5026
Re4 0.4138 0.1861 0.3742
Br13 0.4751 0.0013 0.1863
Re5 0.8139 0.5862 0.6258
Br14 0.0003 0.6784 0.4974
Br15 0.6391 0.6391 0.4326
Re6 0.7624 0.7624 0.8090
Br16 0.7063 0.3901 0.7010
Br17 0.5249 0.9987 0.8137
Br18 0.3703 0.3703 0.0439
Br19 0.3609 0.3609 0.5674
Rb2 0.2144 0.7856 0.0000
Br20 0.2937 0.6099 0.2990

[10]
## RbRe2Br2 (GGA-PBEsol)

Data for crystalline RbRe2Br2 at its relaxed geometry.

## Properties
Density ... 7.929 g cm⁻³
Formation energy without anion corrections ... 872 meV per atom

Cell lengths 4.9762, 4.9762, 6.2987 Å; angles 113.27, 113.27, 90.00 degrees
Positions (direct):
Rb1 0.0000 0.0000 0.0000
Re1 0.3996 0.3996 0.7992
Br1 0.2500 0.7500 0.5000
Br2 0.7500 0.2500 0.5000
Re2 0.6004 0.6004 0.2008

[11]
## Rb3ReBr (GGA-PBEsol)

Data for crystalline Rb3ReBr at its relaxed geometry.

## Properties
Density ... 3.514 g cm⁻³
Formation energy without anion corrections ... 918 meV per atom

Cell lengths 6.2734, 6.2734, 6.2734 Å; angles 90.00, 90.00, 90.00 degrees
Positions (direct):
Rb1 0.0000 0.0000 0.5000
Rb2 0.0000 0.5000 0.0000
Rb3 0.5000 0.0000 0.0000
Re1 0.0000 0.0000 0.0000
Br1 0.5000 0.5000 0.5000

[12]
## RbRhSe2Br (GGA-PBEsol)

Data for crystalline RbRhSe2Br at its relaxed geometry.

## Properties
Density ... 3.438 g cm⁻³
Formation energy without anion corrections ... 1542 meV per atom

Cell lengths 5.8908, 5.8908, 5.9321 Å; angles 90.00, 90.00, 90.00 degrees
Positions (direct):
Rb1 0.0000 0.0000 0.0000
Br1 0.0000 0.0000 0.5000
Se1 0.0000 0.5000 0.0000
Rh1 0.5000 0.5000 0.5000
Se2 0.5000 0.0000 0.0000

[13]
## RbTcRu2Br (GGA-PBEsol)

Data for crystalline RbTcRu2Br at its relaxed geometry.

## Properties
Density ... 5.476 g cm⁻³
Formation energy without anion corrections ... 1325 meV per atom

Cell lengths 4.5163, 4.5163, 6.9214 Å; angles 90.00, 90.00, 90.00 degrees
Positions (direct):
Br1 0.5000 0.5000 0.5000
Rb1 0.0000 0.0000 0.5000
Ru1 0.0000 0.5000 0.0000
Ru2 0.5000 0.0000 0.0000
Tc1 0.0000 0.0000 0.0000

[14]
## RbS3Br (GGA-PBEsol)

Data for crystalline RbS3Br at its relaxed geometry.

## Properties
Density ... 1.911 g cm⁻³
Formation energy without anion corrections ... 1327 meV per atom

Cell lengths 6.1031, 6.1031, 6.1031 Å; angles 90.00, 90.00, 90.00 degrees
Positions (direct):
Rb1 0.0000 0.0000 0.0000
S1 0.5000 0.0000 0.0000
Br1 0.5000 0.5000 0.5000
S2 0.0000 0.0000 0.5000
S3 0.0000 0.5000 0.0000

[15]
## Rb2SbBr (GGA-PBEsol)

Data for crystalline Rb2SbBr at its relaxed geometry.

## Properties
Density ... 3.950 g cm⁻³
Formation energy without anion corrections ... -560 meV per atom

Cell lengths 6.0505, 6.0505, 6.0505 Å; angles 60.00, 60.00, 60.00 degrees
Positions (direct):
Sb1 0.5000 0.5000 0.5000
Rb1 0.2500 0.2500 0.2500
Br1 0.0000 0.0000 0.0000
Rb2 0.7500 0.7500 0.7500

[16]
## Rb3SbBr6 (GGA-PBEsol)

Data for crystalline Rb3SbBr6 at its relaxed geometry.

## Properties
Density ... 3.408 g cm⁻³
Formation energy without anion corrections ... -1232 meV per atom

Cell lengths 8.3916, 8.3916, 8.3916 Å; angles 60.00, 60.00, 60.00 degrees
Positions (direct):
Br1 0.7666 0.2334 0.7666
Rb1 0.5000 0.5000 0.5000
Rb2 0.7500 0.7500 0.7500
Br2 0.2334 0.7666 0.7666
Br3 0.2334 0.7666 0.2334
Br4 0.7666 0.2334 0.2334
Br5 0.7666 0.7666 0.2334
Rb3 0.2500 0.2500 0.2500
Sb1 0.0000 0.0000 0.0000
Br6 0.2334 0.2334 0.7666

[17]
## Rb3Sb2Br9 (GGA-PBEsol)

Data for crystalline Rb3Sb2Br9 at its relaxed geometry.

## Properties
Density ... 4.064 g cm⁻³
Formation energy without anion corrections ... -1120 meV per atom

Cell lengths 7.7476, 7.7476, 9.5828 Å; angles 90.00, 90.00, 120.00 degrees
Positions (direct):
Br1 0.6668 0.8334 0.3410
Br2 0.5000 0.0000 0.0000
Sb1 0.6667 0.3333 0.8105
Br3 0.0000 0.5000 0.0000
Rb1 0.3333 0.6667 0.6600
Br4 0.1666 0.3332 0.3410
Br5 0.5000 0.5000 0.0000
Br6 0.8334 0.1666 0.6590
Br7 0.3332 0.1666 0.6590
Br8 0.1666 0.8334 0.3410
Rb2 0.0000 0.0000 0.0000
Rb3 0.6667 0.3333 0.3400
Sb2 0.3333 0.6667 0.1895
Br9 0.8334 0.6668 0.6590

[18]
## RbSbSeBr2 (GGA-PBEsol)

Data for crystalline RbSbSeBr2 at its relaxed geometry.

## Properties
Density ... 4.328 g cm⁻³
Formation energy without anion corrections ... -793 meV per atom

Cell lengths 5.3113, 5.6762, 5.6762 Å; angles 90.00, 90.00, 90.00 degrees
Positions (direct):
Sb1 0.0000 0.0000 0.0000
Br1 0.0000 0.0000 0.5000
Br2 0.0000 0.5000 0.0000
Se1 0.5000 0.0000 0.0000
Rb1 0.5000 0.5000 0.5000

[19]
## RbScBr3 (GGA-PBEsol)

Data for crystalline RbScBr3 at its relaxed geometry.

## Properties
Density ... 4.061 g cm⁻³
Formation energy without anion corrections ... -1649 meV per atom

Cell lengths 6.0691, 7.5884, 7.5884 Å; angles 120.00, 90.00, 90.00 degrees
Positions (direct):
Rb1 0.7500 0.3333 0.6667
Br1 0.2500 0.1705 0.8295
Br2 0.7500 0.3410 0.1705
Br3 0.7500 0.8295 0.1705
Sc1 0.0000 0.0000 0.0000
Sc2 0.5000 0.0000 0.0000
Br4 0.2500 0.6590 0.8295
Br5 0.2500 0.1705 0.3410
Rb2 0.2500 0.6667 0.3333
Br6 0.7500 0.8295 0.6590

[20]
## Rb2ScTlBr6 (GGA-PBEsol)

Data for crystalline Rb2ScTlBr6 at its relaxed geometry.

## Properties
Density ... 4.034 g cm⁻³
Formation energy without anion corrections ... -1519 meV per atom

Cell lengths 8.0611, 8.0611, 8.0611 Å; angles 60.00, 60.00, 60.00 degrees
Positions (direct):
Tl1 0.5000 0.5000 0.5000
Rb1 0.7500 0.7500 0.7500
Br1 0.2299 0.7701 0.7701
Br2 0.7701 0.7701 0.2299
Sc1 0.0000 0.0000 0.0000
Br3 0.7701 0.2299 0.7701
Br4 0.2299 0.7701 0.2299
Br5 0.2299 0.2299 0.7701
Rb2 0.2500 0.2500 0.2500
Br6 0.7701 0.2299 0.2299

[21]
## RbTaSeBr2 (GGA-PBEsol)

Data for crystalline RbTaSeBr2 at its relaxed geometry.

## Properties
Density ... 6.142 g cm⁻³
Formation energy without anion corrections ... -754 meV per atom

Cell lengths 4.9700, 5.2422, 5.2422 Å; angles 90.00, 90.00, 90.00 degrees
Positions (direct):
Se1 0.5000 0.0000 0.0000
Br1 0.0000 0.5000 0.0000
Ta1 0.0000 0.0000 0.0000
Br2 0.0000 0.0000 0.5000
Rb1 0.5000 0.5000 0.5000

[22]
## RbTiSeBr2 (GGA-PBEsol)

Data for crystalline RbTiSeBr2 at its relaxed geometry.

## Properties
Density ... 3.300 g cm⁻³
Formation energy without anion corrections ... -376 meV per atom

Cell lengths 4.6153, 6.3693, 6.3693 Å; angles 90.00, 90.00, 90.00 degrees
Positions (direct):
Rb1 0.5000 0.5000 0.5000
Ti1 0.5000 0.0000 0.0000
Br1 0.0000 0.5000 0.0000
Br2 0.0000 0.0000 0.5000
Se1 0.0000 0.0000 0.0000

[23]
## RbZnSe2Br (GGA-PBEsol)

Data for crystalline RbZnSe2Br at its relaxed geometry.

## Properties
Density ... 2.584 g cm⁻³
Formation energy without anion corrections ... 787 meV per atom

Cell lengths 6.1874, 6.3542, 6.3542 Å; angles 90.00, 90.00, 90.00 degrees
Positions (direct):
Se1 0.0000 0.5000 0.0000
Zn1 0.5000 0.5000 0.5000
Se2 0.0000 0.0000 0.5000
Br1 0.5000 0.0000 0.0000
Rb1 0.0000 0.0000 0.0000

[24]
## Rb3SnBr (GGA-PBEsol)

Data for crystalline Rb3SnBr at its relaxed geometry.

## Properties
Density ... 2.408 g cm⁻³
Formation energy without anion corrections ... -295 meV per atom

Cell lengths 6.7957, 6.7957, 6.7957 Å; angles 90.00, 90.00, 90.00 degrees
Positions (direct):
Rb1 0.0000 0.0000 0.5000
Rb2 0.5000 0.0000 0.0000
Sn1 0.0000 0.0000 0.0000
Br1 0.5000 0.5000 0.5000
Rb3 0.0000 0.5000 0.0000

[25]
## RbSr2Br5 (GGA-PBEsol)

Data for crystalline RbSr2Br5 at its relaxed geometry.

## Properties
Density ... 4.291 g cm⁻³
Formation energy without anion corrections ... -2051 meV per atom

Cell lengths 8.2651, 9.3766, 13.1874 Å; angles 90.18, 90.00, 90.00 degrees
Positions (direct):
Rb1 0.4447 0.4902 0.1674
Sr1 0.9298 0.2480 0.0069
Br1 0.6651 0.7856 0.3149
Br2 0.4543 0.7861 0.9977
Br3 0.9543 0.2139 0.5023
Br4 0.8105 0.2274 0.7825
Br5 0.3236 0.4622 0.4194
Sr2 0.5702 0.2480 0.5069
Sr3 0.5272 0.0013 0.8217
Br6 0.6627 0.9600 0.5988
Br7 0.6895 0.2274 0.2825
Br8 0.0457 0.7861 0.4977
Sr4 0.4728 0.9987 0.1783
Br9 0.1764 0.4622 0.9194
Rb2 0.9447 0.5098 0.3326
Br10 0.8373 0.9600 0.0988
Sr5 0.9728 0.0013 0.3217
Br11 0.5457 0.2139 0.0023
Sr6 0.0702 0.7520 0.9931
Br12 0.1895 0.7726 0.2175
Rb3 0.5553 0.5098 0.8326
Br13 0.3105 0.7726 0.7175
Br14 0.1651 0.2144 0.1851
Br15 0.8349 0.7856 0.8149
Br16 0.3373 0.0400 0.4012
Br17 0.3349 0.2144 0.6851
Sr7 0.0272 0.9987 0.6783
Br18 0.8236 0.5378 0.0806
Sr8 0.4298 0.7520 0.4931
Rb4 0.0553 0.4902 0.6674
Br19 0.6764 0.5378 0.5806
Br20 0.1627 0.0400 0.9012